Entry 1:
AlMoRh3: optimized geometry, PBE-GGA.

abc: 4.385 4.385 4.385
angles: 90.00 90.00 90.00
Positions (direct):
Al: 0.000 0.000 0.000
Mo: 0.500 0.500 0.500
Rh: 0.000 0.000 0.500
Rh: 0.000 0.500 0.000
Rh: 0.500 0.000 0.000

Entry 2:
Al8MoRh2: optimized geometry, PBE-GGA.

abc: 6.998 6.998 6.998
angles: 146.36 115.27 74.96
Positions (direct):
Al: 0.120 0.341 0.779
Al: 0.150 0.150 0.000
Al: 0.310 0.000 0.310
Al: 0.438 0.659 0.779
Al: 0.562 0.341 0.221
Al: 0.690 0.000 0.690
Al: 0.850 0.850 0.000
Al: 0.880 0.659 0.221
Mo: 0.000 0.500 0.500
Rh: 0.298 0.798 0.500
Rh: 0.702 0.202 0.500

Entry 3:
AlMoRh2: optimized geometry, PBE-GGA.

abc: 3.982 3.982 3.690
angles: 90.00 90.00 90.00
Positions (direct):
Al: 0.000 0.000 0.000
Mo: 0.500 0.500 0.000
Rh: 0.000 0.500 0.500
Rh: 0.500 0.000 0.500

Entry 4:
AlMoRh2: optimized geometry, PBE-GGA.

abc: 4.546 4.546 2.842
angles: 90.00 90.00 90.00
Positions (direct):
Al: 0.000 0.000 0.000
Mo: 0.500 0.500 0.000
Rh: 0.000 0.500 0.500
Rh: 0.500 0.000 0.500

Entry 5:
Al2MoRh: optimized geometry, PBE-GGA.

abc: 3.124 3.124 6.045
angles: 90.00 90.00 90.00
Positions (direct):
Al: 0.000 0.000 0.000
Al: 0.500 0.500 0.262
Mo: 0.000 0.000 0.507
Rh: 0.500 0.500 0.790

Distance to the lowest polymorph of the same formula = 203 meV per atom

Entry 6:
Al2MoRh: optimized geometry, PBE-GGA.

abc: 6.147 6.147 6.147
angles: 90.00 90.00 90.00
Positions (direct):
Al: 0.250 0.250 0.250
Al: 0.250 0.250 0.750
Al: 0.250 0.750 0.250
Al: 0.250 0.750 0.750
Al: 0.750 0.250 0.250
Al: 0.750 0.250 0.750
Al: 0.750 0.750 0.250
Al: 0.750 0.750 0.750
Mo: 0.000 0.000 0.000
Mo: 0.000 0.500 0.500
Mo: 0.500 0.000 0.500
Mo: 0.500 0.500 0.000
Rh: 0.000 0.000 0.500
Rh: 0.000 0.500 0.000
Rh: 0.500 0.000 0.000
Rh: 0.500 0.500 0.500

Distance to the lowest polymorph of the same formula = 153 meV per atom

Entry 7:
Al2MoRh: optimized geometry, PBE-GGA.

abc: 2.838 2.838 26.232
angles: 90.00 90.00 120.00
Positions (direct):
Al: 0.000 0.000 0.000
Al: 0.000 0.000 0.245
Al: 0.333 0.667 0.667
Al: 0.333 0.667 0.911
Al: 0.667 0.333 0.333
Al: 0.667 0.333 0.578
Mo: 0.000 0.000 0.752
Mo: 0.333 0.667 0.418
Mo: 0.667 0.333 0.085
Rh: 0.000 0.000 0.501
Rh: 0.333 0.667 0.167
Rh: 0.667 0.333 0.834

Distance to the lowest polymorph of the same formula = 296 meV per atom

Entry 8:
AlMoRh2: optimized geometry, PBE-GGA.

abc: 2.799 2.799 26.106
angles: 90.00 90.00 120.00
Positions (direct):
Al: 0.000 0.000 0.000
Al: 0.333 0.667 0.667
Al: 0.667 0.333 0.333
Mo: 0.000 0.000 0.754
Mo: 0.333 0.667 0.421
Mo: 0.667 0.333 0.088
Rh: 0.000 0.000 0.258
Rh: 0.000 0.000 0.501
Rh: 0.333 0.667 0.168
Rh: 0.333 0.667 0.924
Rh: 0.667 0.333 0.591
Rh: 0.667 0.333 0.834

Table of calculated total energy (eV/atom), in record order: -6.617; -5.610; -7.594; -7.669; -6.770; -6.820; -6.678; -7.570